Record 1
{
  "formula": "AcPmPrSc",
  "functional": "PBE",
  "state": "relaxed",
  "ef_ev_per_atom": 0.131,
  "spacegroup": "No. 216",
  "e_tot_ev_per_cell": -19.4,
  "lattice_angstrom": [[0.000, 4.108, 4.108], [4.108, 0.000, 4.108], [4.108, 4.108, 0.000]],
  "species": ["Ac", "Pm", "Pr", "Sc"],
  "fractional_positions": [[0.000, 0.000, 0.000], [0.250, 0.250, 0.250], [0.500, 0.500, 0.500], [0.750, 0.750, 0.750]]
}

Record 2
{
  "formula": "Ac4Pm3PrSe8",
  "functional": "PBE",
  "state": "relaxed",
  "spacegroup": "No. 166",
  "e_tot_ev_per_cell": -92.8,
  "lattice_angstrom": [[4.335, 2.503, 7.105], [-4.335, 2.503, 7.105], [0.000, -5.005, 7.105]],
  "species": ["Ac", "Ac", "Ac", "Ac", "Pm", "Pm", "Pm", "Pr", "Se", "Se", "Se", "Se", "Se", "Se", "Se", "Se"],
  "fractional_positions": [[0.000, 0.000, 0.000], [0.000, 0.500, 0.500], [0.500, 0.000, 0.500], [0.500, 0.500, 0.000], [0.000, 0.000, 0.500], [0.000, 0.500, 0.000], [0.500, 0.000, 0.000], [0.500, 0.500, 0.500], [0.242, 0.746, 0.746], [0.244, 0.244, 0.244], [0.254, 0.254, 0.758], [0.254, 0.758, 0.254], [0.746, 0.242, 0.746], [0.746, 0.746, 0.242], [0.756, 0.756, 0.756], [0.758, 0.254, 0.254]]
}

Record 3
{
  "formula": "Ac3PmPr2Se6",
  "functional": "PBE",
  "state": "relaxed",
  "spacegroup": "No. 12",
  "e_tot_ev_per_cell": -69.8,
  "lattice_angstrom": [[3.759, -6.531, 0.000], [3.759, 6.531, 0.000], [-2.519, 0.000, 7.126]],
  "species": ["Ac", "Ac", "Ac", "Pm", "Pr", "Pr", "Se", "Se", "Se", "Se", "Se", "Se"],
  "fractional_positions": [[0.000, 0.000, 0.000], [0.332, 0.668, 0.000], [0.668, 0.332, 0.000], [0.500, 0.500, 0.500], [0.166, 0.834, 0.500], [0.834, 0.166, 0.500], [0.092, 0.422, 0.264], [0.250, 0.250, 0.738], [0.422, 0.092, 0.264], [0.578, 0.908, 0.736], [0.750, 0.750, 0.262], [0.908, 0.578, 0.736]]
}

Record 4
{
  "formula": "AcPm2Pr3Se6",
  "functional": "PBE",
  "state": "relaxed",
  "spacegroup": "No. 12",
  "e_tot_ev_per_cell": -70.9,
  "lattice_angstrom": [[3.697, -6.433, 0.000], [3.697, 6.433, 0.000], [-2.484, 0.000, 6.981]],
  "species": ["Ac", "Pm", "Pm", "Pr", "Pr", "Pr", "Se", "Se", "Se", "Se", "Se", "Se"],
  "fractional_positions": [[0.000, 0.000, 0.000], [0.332, 0.668, 0.000], [0.668, 0.332, 0.000], [0.163, 0.837, 0.500], [0.500, 0.500, 0.500], [0.837, 0.163, 0.500], [0.084, 0.427, 0.251], [0.262, 0.262, 0.754], [0.427, 0.084, 0.251], [0.573, 0.916, 0.749], [0.738, 0.738, 0.246], [0.916, 0.573, 0.749]]
}